(1)
## Ac4CdPb8 (PBE)

Data for an optimized crystal structure of Ac4CdPb8.

Results
Energy of formation: -0.40 eV/atom
Calculated volume: 441 Å³/f.u.

a = 4.746 Å, b = 4.916 Å, c = 18.889 Å
α = 90.00°, β = 90.00°, γ = 90.00°
Fractional positions:
Ac 0.000 0.000 0.085
Ac 0.000 0.500 0.608
Ac 0.500 0.500 0.401
Ac 0.500 0.000 0.893
Cd 0.000 0.000 0.323
Pb 0.000 0.000 0.474
Pb 0.000 0.500 0.930
Pb 0.500 0.500 0.045
Pb 0.500 0.000 0.588
Pb 0.000 0.500 0.228
Pb 0.000 0.000 0.747
Pb 0.500 0.000 0.226
Pb 0.500 0.500 0.755

(2)
## AcMg2Pd4Pb (PBE)

Data for an optimized crystal structure of AcMg2Pd4Pb.

Results
Energy of formation: -0.57 eV/atom
Calculated volume: 169 Å³/f.u.

a = 4.577 Å, b = 4.577 Å, c = 9.699 Å
α = 76.35°, β = 76.35°, γ = 60.00°
Fractional positions:
Ac 0.000 0.000 0.000
Mg 0.762 0.762 0.714
Mg 0.238 0.238 0.286
Pd 0.399 0.399 0.803
Pd 0.882 0.882 0.353
Pd 0.118 0.118 0.647
Pd 0.601 0.601 0.197
Pb 0.500 0.500 0.500

(3)
## NaSrTl (PBE)

Data for an optimized crystal structure of NaSrTl.

Results
Energy of formation: -0.21 eV/atom
Energy above the lowest structure with this stoichiometry: 2 meV per atom
Calculated volume: 113 Å³/f.u.

a = 4.116 Å, b = 5.297 Å, c = 10.354 Å
α = 90.00°, β = 90.01°, γ = 90.00°
Fractional positions:
Na 0.811 0.216 0.302
Na 0.811 0.716 0.491
Sr 0.312 0.716 0.081
Sr 0.312 0.216 0.712
Tl 0.812 0.216 0.994
Tl 0.812 0.716 0.799

(4)
## HfHg4Ge2 (PBE)

Data for an optimized crystal structure of HfHg4Ge2.

Results
Energy of formation: 0.45 eV/atom
Calculated volume: 214 Å³/f.u.

a = 5.597 Å, b = 5.597 Å, c = 7.904 Å
α = 69.27°, β = 69.27°, γ = 90.00°
Fractional positions:
Ge 0.591 0.591 0.819
Ge 0.409 0.409 0.181
Hf 0.000 0.000 0.000
Hg 0.792 0.792 0.415
Hg 0.208 0.208 0.585
Hg 0.000 0.500 0.000
Hg 0.500 0.000 0.000